No. 1
{"formula": "NdSmBiO2", "functional": "PBE", "state": "relaxed", "lattice_angstrom": [[-2.001, 2.001, 6.986], [2.001, -2.001, 6.986], [2.001, 2.001, -6.986]], "species": ["Nd", "Sm", "Bi", "O", "O"], "frac_coords": [[0.000, 0.000, 0.000], [0.333, 0.333, 0.000], [0.667, 0.667, 0.000], [0.414, 0.914, 0.500], [0.914, 0.414, 0.500]], "e_tot_ev_per_cell": -36.22, "vol_a3_per_cell": 112}

No. 2
{"formula": "TaMn", "functional": "PBE", "state": "relaxed", "lattice_angstrom": [[-3.723, 3.723, 2.179], [3.723, -3.723, 2.179], [3.723, 3.723, -2.179]], "species": ["Ta", "Ta", "Ta", "Ta", "Mn", "Mn", "Mn", "Mn"], "frac_coords": [[0.012, 0.697, 0.710], [0.303, 0.012, 0.315], [0.697, 0.988, 0.685], [0.988, 0.303, 0.290], [0.330, 0.361, 0.692], [0.361, 0.670, 0.031], [0.639, 0.330, 0.969], [0.670, 0.639, 0.308]], "vol_a3_per_cell": 121, "delta_e_f_ev_per_atom": 0.1548}

No. 3
{"formula": "Cs4CrS5", "functional": "PBE", "state": "relaxed", "lattice_angstrom": [[8.548, -2.795, 0.000], [8.548, 2.795, 0.000], [-8.487, 0.000, 8.556]], "species": ["Cs", "Cs", "Cs", "Cs", "Cr", "S", "S", "S", "S", "S"], "frac_coords": [[0.099, 0.099, 0.345], [0.252, 0.252, 0.850], [0.748, 0.748, 0.150], [0.901, 0.901, 0.655], [0.602, 0.398, 0.500], [0.327, 0.338, 0.404], [0.423, 0.435, 0.260], [0.565, 0.577, 0.740], [0.662, 0.673, 0.596], [0.972, 0.028, 0.500]], "e_tot_ev_per_cell": -41.63, "vol_a3_per_cell": 409}

No. 4
{"formula": "LaPmSi4", "functional": "PBE", "state": "relaxed", "lattice_angstrom": [[-2.043, 3.611, 4.262], [2.043, -3.611, 4.262], [2.043, 3.611, -4.262]], "species": ["La", "Pm", "Si", "Si", "Si", "Si"], "frac_coords": [[0.000, 0.000, 0.000], [0.500, 0.500, 0.000], [0.087, 0.752, 0.335], [0.417, 0.752, 0.665], [0.583, 0.248, 0.335], [0.913, 0.248, 0.665]], "de_polymorph_mev_per_atom": 26.9, "vol_a3_per_cell": 126}

No. 5
{"formula": "AcLa8In2", "functional": "PBE", "state": "relaxed", "lattice_angstrom": [[4.953, 0.000, 0.000], [0.000, 4.953, 0.000], [0.000, 0.000, 16.239]], "species": ["Ac", "La", "La", "La", "La", "La", "La", "La", "La", "In", "In"], "frac_coords": [[0.000, 0.000, 0.000], [0.000, 0.500, 0.184], [0.000, 0.500, 0.500], [0.000, 0.500, 0.816], [0.500, 0.000, 0.184], [0.500, 0.000, 0.500], [0.500, 0.000, 0.816], [0.500, 0.500, 0.341], [0.500, 0.500, 0.659], [0.000, 0.000, 0.338], [0.000, 0.000, 0.662]], "vol_a3_per_cell": 398, "delta_e_f_ev_per_atom": -0.0865}

No. 6
{"formula": "Sm3HoSb3", "functional": "PBE", "state": "relaxed", "lattice_angstrom": [[9.337, 0.000, 0.000], [0.000, 9.337, 0.000], [0.000, 0.000, 9.337]], "species": ["Sm", "Sm", "Sm", "Sm", "Sm", "Sm", "Sm", "Sm", "Sm", "Sm", "Sm", "Sm", "Ho", "Ho", "Ho", "Ho", "Sb", "Sb", "Sb", "Sb", "Sb", "Sb", "Sb", "Sb", "Sb", "Sb", "Sb", "Sb"], "frac_coords": [[0.069, 0.431, 0.569], [0.177, 0.823, 0.323], [0.179, 0.179, 0.179], [0.321, 0.821, 0.679], [0.323, 0.177, 0.823], [0.431, 0.569, 0.069], [0.569, 0.069, 0.431], [0.677, 0.677, 0.677], [0.679, 0.321, 0.821], [0.821, 0.679, 0.321], [0.823, 0.323, 0.177], [0.931, 0.931, 0.931], [0.073, 0.573, 0.927], [0.427, 0.427, 0.427], [0.573, 0.927, 0.073], [0.927, 0.073, 0.573], [0.001, 0.254, 0.873], [0.127, 0.501, 0.246], [0.246, 0.127, 0.501], [0.254, 0.873, 0.001], [0.373, 0.499, 0.746], [0.499, 0.746, 0.373], [0.501, 0.246, 0.127], [0.627, 0.999, 0.754], [0.746, 0.373, 0.499], [0.754, 0.627, 0.999], [0.873, 0.001, 0.254], [0.999, 0.754, 0.627]], "de_polymorph_mev_per_atom": 0.0, "vol_a3_per_cell": 814}

No. 7
{"formula": "DyEr3Ru2", "functional": "PBE", "state": "relaxed", "lattice_angstrom": [[-3.338, 6.707, 3.479], [3.338, -6.707, 3.479], [3.338, 6.707, -3.479]], "species": ["Dy", "Dy", "Er", "Er", "Er", "Er", "Er", "Er", "Ru", "Ru", "Ru", "Ru"], "frac_coords": [[0.000, 0.000, 0.000], [0.500, 0.500, 0.000], [0.014, 0.250, 0.764], [0.250, 0.750, 0.500], [0.486, 0.250, 0.236], [0.514, 0.750, 0.764], [0.750, 0.250, 0.500], [0.986, 0.750, 0.236], [0.135, 0.721, 0.856], [0.365, 0.221, 0.586], [0.635, 0.779, 0.414], [0.865, 0.279, 0.144]], "de_polymorph_mev_per_atom": 116.4, "vol_a3_per_cell": 312, "delta_e_f_ev_per_atom": -0.2613}

No. 8
{"formula": "YBe4Fe2", "functional": "PBE", "state": "relaxed", "lattice_angstrom": [[-2.921, 2.921, 2.347], [2.921, -2.921, 2.347], [2.921, 2.921, -2.347]], "species": ["Y", "Be", "Be", "Be", "Be", "Fe", "Fe"], "frac_coords": [[0.000, 0.000, 0.000], [0.314, 0.314, 0.628], [0.314, 0.686, 0.000], [0.686, 0.314, 0.000], [0.686, 0.686, 0.372], [0.250, 0.750, 0.500], [0.750, 0.250, 0.500]], "vol_a3_per_cell": 80, "delta_e_f_ev_per_atom": -0.0943}

No. 9
{"formula": "LiTm2Mg6", "functional": "PBE", "state": "relaxed", "lattice_angstrom": [[4.157, -4.465, 0.000], [4.157, 4.465, 0.000], [-0.592, 0.000, 6.080]], "species": ["Li", "Tm", "Tm", "Mg", "Mg", "Mg", "Mg", "Mg", "Mg"], "frac_coords": [[0.000, 0.000, 0.000], [0.335, 0.335, 0.335], [0.665, 0.665, 0.665], [0.167, 0.500, 0.833], [0.167, 0.833, 0.500], [0.500, 0.167, 0.833], [0.500, 0.833, 0.167], [0.833, 0.167, 0.500], [0.833, 0.500, 0.167]], "de_polymorph_mev_per_atom": 43.4, "vol_a3_per_cell": 226, "delta_e_f_ev_per_atom": 0.0219}

No. 10
{"formula": "Cs3Ho3SnSe8", "functional": "PBE", "state": "relaxed", "lattice_angstrom": [[4.163, 2.403, 8.577], [-4.163, 2.403, 8.577], [0.000, -4.807, 8.577]], "species": ["Cs", "Cs", "Cs", "Ho", "Ho", "Ho", "Sn", "Se", "Se", "Se", "Se", "Se", "Se", "Se", "Se"], "frac_coords": [[0.000, 0.500, 0.500], [0.500, 0.000, 0.500], [0.500, 0.500, 0.000], [0.000, 0.000, 0.500], [0.000, 0.500, 0.000], [0.500, 0.000, 0.000], [0.500, 0.500, 0.500], [0.228, 0.228, 0.228], [0.237, 0.722, 0.722], [0.278, 0.278, 0.763], [0.278, 0.763, 0.278], [0.722, 0.237, 0.722], [0.722, 0.722, 0.237], [0.763, 0.278, 0.278], [0.772, 0.772, 0.772]], "e_tot_ev_per_cell": -69.81, "vol_a3_per_cell": 515}

No. 11
{"formula": "Np3Ir", "functional": "PBE", "state": "relaxed", "lattice_angstrom": [[3.543, 0.000, 0.000], [0.000, 4.524, 0.000], [0.000, 0.000, 4.881]], "species": ["Np", "Np", "Np", "Ir"], "frac_coords": [[0.000, 0.000, 0.000], [0.000, 0.500, 0.467], [0.500, 0.500, 0.112], [0.500, 0.000, 0.545]], "vol_a3_per_cell": 78, "delta_e_f_ev_per_atom": 0.0335}

No. 12
{"formula": "LuAlFe", "functional": "PBE", "state": "relaxed", "lattice_angstrom": [[-1.579, 1.579, 5.095], [1.579, -1.579, 5.095], [1.579, 1.579, -5.095]], "species": ["Lu", "Al", "Fe"], "frac_coords": [[0.000, 0.000, 0.000], [0.717, 0.717, 0.000], [0.329, 0.329, 0.000]], "vol_a3_per_cell": 51, "delta_e_f_ev_per_atom": -0.1947}

No. 13
{"formula": "UPRh", "functional": "PBE", "state": "relaxed", "lattice_angstrom": [[4.337, 0.000, 0.000], [0.000, 4.526, 0.000], [-2.063, 0.000, 5.082]], "species": ["U", "U", "P", "P", "Rh", "Rh"], "frac_coords": [[0.133, 0.250, 0.474], [0.867, 0.750, 0.526], [0.207, 0.750, 0.156], [0.793, 0.250, 0.844], [0.410, 0.250, 0.103], [0.590, 0.750, 0.897]], "vol_a3_per_cell": 100, "delta_e_f_ev_per_atom": -0.5940}

No. 14
{"formula": "Pm2YTm8", "functional": "PBE", "state": "relaxed", "lattice_angstrom": [[8.211, -3.278, 0.000], [8.211, 3.278, 0.000], [-1.147, 0.000, 6.490]], "species": ["Pm", "Pm", "Y", "Tm", "Tm", "Tm", "Tm", "Tm", "Tm", "Tm", "Tm"], "frac_coords": [[0.245, 0.245, 0.312], [0.755, 0.755, 0.688], [0.000, 0.000, 0.000], [0.174, 0.652, 0.597], [0.201, 0.201, 0.803], [0.348, 0.826, 0.403], [0.412, 0.412, 0.097], [0.588, 0.588, 0.903], [0.652, 0.174, 0.597], [0.799, 0.799, 0.197], [0.826, 0.348, 0.403]], "de_polymorph_mev_per_atom": 16.9, "vol_a3_per_cell": 349, "delta_e_f_ev_per_atom": 0.1761}

No. 15
{"formula": "Ho4HgTe2P", "functional": "PBE", "state": "relaxed", "lattice_angstrom": [[7.365, 0.000, 0.000], [0.000, 4.117, 0.000], [-2.323, 0.000, 7.145]], "species": ["Ho", "Ho", "Ho", "Ho", "Hg", "Te", "Te", "P"], "frac_coords": [[0.218, 0.000, 0.226], [0.229, 0.500, 0.757], [0.771, 0.500, 0.243], [0.782, 0.000, 0.774], [0.000, 0.000, 0.500], [0.500, 0.000, 0.000], [0.500, 0.500, 0.500], [0.000, 0.500, 0.000]], "e_tot_ev_per_cell": -39.46, "vol_a3_per_cell": 217}

No. 16
{"formula": "Sr2NbCrTe", "functional": "PBE", "state": "relaxed", "lattice_angstrom": [[6.066, 0.000, 0.000], [0.000, 6.066, 0.000], [0.000, 0.000, 4.952]], "species": ["Sr", "Sr", "Nb", "Cr", "Te"], "frac_coords": [[0.000, 0.500, 0.000], [0.500, 0.000, 0.000], [0.000, 0.000, 0.500], [0.500, 0.500, 0.000], [0.500, 0.500, 0.500]], "e_tot_ev_per_cell": -21.73, "vol_a3_per_cell": 182}

No. 17
{"formula": "ReSe2IN", "functional": "PBE", "state": "relaxed", "lattice_angstrom": [[5.145, 0.000, 0.000], [0.000, 5.145, 0.000], [0.000, 0.000, 3.803]], "species": ["Re", "Se", "Se", "I", "N"], "frac_coords": [[0.000, 0.000, 0.000], [0.000, 0.500, 0.000], [0.500, 0.000, 0.000], [0.500, 0.500, 0.500], [0.000, 0.000, 0.500]], "de_polymorph_mev_per_atom": 0.0, "vol_a3_per_cell": 101}

No. 18
{"formula": "MgScGaNi", "functional": "PBE", "state": "relaxed", "lattice_angstrom": [[0.000, 3.212, 3.212], [3.212, 0.000, 3.212], [3.212, 3.212, 0.000]], "species": ["Mg", "Sc", "Ga", "Ni"], "frac_coords": [[0.000, 0.000, 0.000], [0.500, 0.500, 0.500], [0.250, 0.250, 0.250], [0.750, 0.750, 0.750]], "vol_a3_per_cell": 66, "delta_e_f_ev_per_atom": -0.4007}